(1)
An optimized crystal structure of HoThMgCd. Source: Alexandria, functional PBE.

Cell lengths 5.3701, 5.3701, 5.3701 Å; angles 60.00, 60.00, 60.00 degrees
Element x y z (fractional)
Ho 0.0000 0.0000 0.0000
Th 0.5000 0.5000 0.5000
Mg 0.7500 0.7500 0.7500
Cd 0.2500 0.2500 0.2500

- raw total energy (eV for the cell shown) = -14.805
- volume (Å³ per atom) = 27.38
- calculated density (g cm⁻³) = 8.1



(2)
An optimized crystal structure of HoMgTlCd. Source: Alexandria, functional PBE.

Cell lengths 5.1716, 5.1716, 5.1716 Å; angles 60.00, 60.00, 60.00 degrees
Element x y z (fractional)
Ho 0.0000 0.0000 0.0000
Mg 0.5000 0.5000 0.5000
Tl 0.2500 0.2500 0.2500
Cd 0.7500 0.7500 0.7500

- raw total energy (eV for the cell shown) = -10.508
- volume (Å³ per atom) = 24.45
- calculated density (g cm⁻³) = 8.6